Entry 1:
# Sr6Er

A relaxed structure of Sr6Er (PBE, Alexandria via LeMat-Bulk).

The value obtained for the total magnetization is 0.00 μB per atom. The calculation puts the formation enthalpy at 0 K at 1315 meV/atom. As for the total DFT energy (no corrections): -0.779 eV per atom.

The structure belongs to space group Im-3m (No. 229); the cell edges are 10.1239, 10.1239 and 10.1239 Å and the angles 90.00°, 90.00° and 90.00°. The asymmetric unit holds Sr at (0.0000, 0.2500, 0.5000) and Er at (0.0000, 0.0000, 0.0000).

---

Entry 2:
# Mg3GaRh

A relaxed structure of Mg3GaRh (PBE, Alexandria via LeMat-Bulk).

The value obtained for the total magnetization is 0.00 μB per atom. The calculation puts the energy above the most stable polymorph in this dataset at 0 meV/atom. The calculation puts the formation enthalpy at 0 K at -344 meV/atom. As for the total DFT energy (no corrections): -3.377 eV per atom.

The structure belongs to space group Pmmn (No. 59, origin choice 2); the cell edges are 4.4520, 7.7716 and 5.4062 Å and the angles 90.00°, 90.00° and 90.00°. The asymmetric unit holds Mg at (0.2500, 0.0564, 0.2169), Mg at (0.2500, 0.2500, 0.7462), Ga at (0.2500, 0.7500, 0.5344) and Rh at (0.2500, 0.7500, 0.9951).